# 1
VASP calculation (PBE-GGA) on crystalline Mg7Pt6 at its relaxed geometry.

```
13
Lattice="2.6935 1.5551 8.8077 -2.6935 1.5551 8.8077 0.0000 -3.1102 8.8077" Properties=species:S:1:pos:R:3 pbc="T T T"
Mg 0.0000 0.0000 0.0000
Mg 0.0000 -1.5217 6.5851
Mg -1.3178 0.7608 6.5851
Mg -1.3178 -0.7608 19.8379
Mg 1.3178 0.7608 6.5851
Mg 1.3178 -0.7608 19.8379
Mg 0.0000 1.5217 19.8379
Pt 0.0000 0.0000 4.3885
Pt 0.0000 0.0000 9.0202
Pt 0.0000 0.0000 11.8936
Pt 0.0000 0.0000 14.5294
Pt 0.0000 0.0000 17.4028
Pt 0.0000 0.0000 22.0346
```

Values from the calculation:
The crystal system is trigonal. As for the magnetization: 0.00 μB per formula unit.

# 2
VASP calculation (PBE-GGA) on crystalline Mg2Pt3 at its relaxed geometry.

```
10
Lattice="0.0000 6.7054 2.5230 4.7693 0.0000 2.5230 4.7693 6.7054 0.0000" Properties=species:S:1:pos:R:3 pbc="T T T"
Mg 5.1065 4.0498 2.5230
Mg 6.8167 7.4025 3.7846
Mg 4.4321 9.3611 2.5230
Mg 7.4911 12.7139 3.7846
Pt 4.2871 1.3743 2.3699
Pt 1.9024 1.9784 1.1084
Pt 2.8669 4.7271 1.1084
Pt 4.7693 6.7054 2.2126
Pt 7.1539 10.0582 3.4741
Pt 5.2515 12.0365 2.3699
```

Values from the calculation:
The crystal system is orthorhombic. For the energy above the most stable polymorph in this dataset, the calculation gives 0.000 eV per atom. As for the magnetization: 0.00 μB per formula unit.

# 3
VASP calculation (PBE-GGA) on crystalline Mg3Pt at its relaxed geometry.

```
16
Lattice="7.6844 0.0000 0.0000 0.0000 8.1275 0.0000 0.0000 0.0000 5.0925" Properties=species:S:1:pos:R:3 pbc="T T T"
Mg 0.1537 2.0319 0.4055
Mg 1.2820 0.5233 3.0484
Mg 1.2820 3.5404 3.0484
Mg 2.5601 4.5871 0.5021
Mg 2.5601 7.6041 0.5021
Mg 3.6885 6.0956 2.9518
Mg 3.9959 2.0319 2.1407
Mg 5.1242 0.5233 4.5904
Mg 5.1242 3.5404 4.5904
Mg 6.4023 4.5871 2.0442
Mg 6.4023 7.6041 2.0442
Mg 7.5307 6.0956 4.6870
Pt 1.0328 6.0956 2.1868
Pt 2.8094 2.0319 4.7331
Pt 4.8750 6.0956 0.3595
Pt 6.6516 2.0319 2.9057
```

Values from the calculation:
The crystal system is orthorhombic. As for the magnetization: 0.00 μB per formula unit.

# 4
VASP calculation (PBE-GGA) on crystalline Mg2Pt at its relaxed geometry.

```
3
Lattice="4.4937 0.0000 0.0000 -2.2468 3.8917 0.0000 0.0000 0.0000 2.9349" Properties=species:S:1:pos:R:3 pbc="T T T"
Mg 0.0000 2.5944 0.5720
Mg 2.2469 1.2972 2.3629
Pt 0.0000 0.0000 1.4675
```

Values from the calculation:
The crystal system is trigonal. As for the magnetization: 0.00 μB per formula unit.

# 5
VASP calculation (PBE-GGA) on crystalline MgPt3 at its relaxed geometry.

```
4
Lattice="1.4130 0.8158 9.0548 -1.4130 0.8158 9.0548 0.0000 -1.6316 9.0548" Properties=species:S:1:pos:R:3 pbc="T T T"
Mg 0.0000 0.0000 0.0000
Pt 0.0000 0.0000 6.8940
Pt 0.0000 0.0000 13.5822
Pt 0.0000 0.0000 20.2704
```

Values from the calculation:
The crystal system is trigonal. As for the magnetization: 0.00 μB per formula unit.

# 6
VASP calculation (PBE-GGA) on crystalline MgPt at its relaxed geometry.

```
6
Lattice="5.4135 -1.4816 0.0000 5.4135 1.4816 0.0000 -1.6839 0.0000 6.2400" Properties=species:S:1:pos:R:3 pbc="T T T"
Mg 0.0000 0.0000 0.0000
Mg -0.4726 0.0000 3.3534
Mg 2.2820 0.0000 3.8786
Pt 3.6360 0.0000 1.4801
Pt 6.6544 0.0000 1.8476
Pt 6.0770 0.0000 5.4546
```

Values from the calculation:
The crystal system is monoclinic. As for the magnetization: 0.00 μB per formula unit.

# 7
VASP calculation (PBE-GGA) on crystalline MgPt at its relaxed geometry.

```
8
Lattice="0.0000 5.8096 7.7558 1.4600 0.0000 7.7558 1.4600 5.8096 0.0000" Properties=species:S:1:pos:R:3 pbc="T T T"
Mg 1.0950 0.0476 5.8168
Mg 1.8251 2.9524 9.6947
Mg 1.0950 8.6667 5.8168
Mg 1.8251 11.5715 9.6947
Pt 1.0950 4.3572 4.0558
Pt 1.0950 4.3572 7.5779
Pt 1.8251 7.2619 7.9336
Pt 1.8251 7.2619 11.4557
```

Values from the calculation:
The crystal system is orthorhombic. As for the magnetization: 0.00 μB per formula unit.

# 8
VASP calculation (PBE-GGA) on crystalline MgPt at its relaxed geometry.

```
4
Lattice="2.9725 0.0000 0.0000 -1.4863 2.5743 0.0000 0.0000 0.0000 8.5742" Properties=species:S:1:pos:R:3 pbc="T T T"
Mg 0.0000 0.0000 0.0000
Mg 0.0000 0.0000 4.2871
Pt 0.0000 1.7162 2.1435
Pt 1.4863 0.8581 6.4306
```

Values from the calculation:
The crystal system is hexagonal. As for the magnetization: 0.00 μB per formula unit.

| no. | energy of formation (eV per atom) |
| --- | --- |
| 1 | -0.247 |
| 2 | -0.663 |
| 3 | -0.588 |
| 4 | -0.595 |
| 5 | -0.370 |
| 6 | -0.613 |
| 7 | -0.692 |
| 8 | -0.597 |